No. 1
A relaxed Pr5Er crystal, computed with GGA-PBE.

a b c (Å): 5.1987 5.2046 8.2455
angles (deg): 108.40 90.00 90.00
Closest atoms and distances in Å follow each position.
Atoms (fractional coordinates):
Pr1 0.5000 0.1657 0.3313  2 Er 3.67, 10 Pr 3.67-3.71
Pr2 0.5000 0.5000 0.0000  8 Pr 3.66-3.67, 4 Er 3.68
Pr3 0.0000 0.6649 0.3298  10 Pr 3.66-3.72, 2 Er 3.66
Pr4 0.0000 0.3351 0.6702  10 Pr 3.66-3.72, 2 Er 3.66
Pr5 0.5000 0.8343 0.6687  2 Er 3.67, 10 Pr 3.67-3.71
Er1 0.0000 0.0000 0.0000  12 Pr 3.66-3.68

Calculated values
Its formation energy is 0.015 eV/atom.


No. 2
A relaxed TlSiAu crystal, computed with GGA-PBE.

a b c (Å): 5.1576 3.7834 8.3504
angles (deg): 90.44 107.13 68.62
Closest atoms and distances in Å follow each position.
Atoms (fractional coordinates):
Tl1 0.4264 0.9291 0.9804  3 Au 3.03-3.05, 1 Si 3.18, 1 Tl 3.31
Tl2 0.0123 0.1275 0.2306  4 Au 2.99-3.22, 1 Si 3.13, 1 Tl 3.31
Au1 0.7657 0.2620 0.8243  2 Si 2.45-2.47
Au2 0.5217 0.3756 0.3792  2 Si 2.46-2.47
Si1 0.9991 0.1397 0.6024  2 Si 2.33, 2 Au 2.45-2.46
Si2 0.2833 0.4987 0.6022  2 Si 2.33, 2 Au 2.47

Calculated values
The raw formation energy comes out at 0.05 eV per atom.


No. 3
A relaxed Ce2Ni3As4Pd crystal, computed with GGA-PBE.

a b c (Å): 4.2858 4.2858 9.4292
angles (deg): 90.00 90.00 90.00
Closest atoms and distances in Å follow each position.
Atoms (fractional coordinates):
Ce1 0.5000 0.0000 0.2468  8 As 3.16-3.21, 2 Pd 3.21, 7 Ni 3.21-3.38
Ce2 0.0000 0.5000 0.7532  8 As 3.16-3.21, 7 Ni 3.21-3.38, 2 Pd 3.21
Ni1 0.0000 0.5000 0.1119  5 As 2.34-2.39
Ni2 0.5000 0.0000 0.8881  5 As 2.34-2.39
Ni3 0.0000 0.0000 0.5000  4 As 2.52
As1 0.5000 0.5000 0.0000  4 Ni 2.39
As2 0.5000 0.0000 0.6399  3 Ni 2.34-2.52, 2 Pd 2.52
As3 0.0000 0.0000 0.0000  4 Ni 2.39
As4 0.0000 0.5000 0.3601  3 Ni 2.34-2.52, 2 Pd 2.52
Pd1 0.5000 0.5000 0.5000  4 As 2.52

Calculated values
Its formation energy is -0.843 eV/atom.


No. 4
A relaxed Ho2SiNi3 crystal, computed with GGA-PBE.

a b c (Å): 3.6958 3.9890 7.0426
angles (deg): 90.00 90.00 90.00
Closest atoms and distances in Å follow each position.
Atoms (fractional coordinates):
Ni1 0.5000 0.0000 0.8363  3 Ni 2.37-2.38
Ni2 0.5000 0.5000 0.6558  1 Si 2.29, 2 Ni 2.37
Ni3 0.5000 0.0000 0.1736  2 Si 2.28, 1 Ni 2.38
Ho1 0.0000 0.5000 0.9922  10 Ni 2.93-3.00, 2 Si 3.02
Ho2 0.0000 0.0000 0.5116  8 Ni 2.90-3.01, 4 Si 3.00
Si1 0.5000 0.5000 0.3305  3 Ni 2.28-2.29

Calculated values
The raw formation energy comes out at -0.59 eV per atom.


No. 5
A relaxed NpBRh3 crystal, computed with GGA-PBE.

a b c (Å): 3.8617 8.0101 9.5492
angles (deg): 90.00 90.00 90.00
Closest atoms and distances in Å follow each position.
Atoms (fractional coordinates):
B1 0.7500 0.3970 0.1598  5 Rh 2.13-2.30
B2 0.2500 0.6030 0.8402  5 Rh 2.13-2.30
B3 0.2500 0.1030 0.6598  5 Rh 2.13-2.30
B4 0.7500 0.8970 0.3402  5 Rh 2.13-2.30
Rh1 0.7500 0.6178 0.2848  2 B 2.13-2.30
Rh2 0.2500 0.8641 0.2215  2 B 2.25
Rh3 0.7500 0.4165 0.9315  1 B 2.18
Rh4 0.7500 0.1178 0.2152  2 B 2.13-2.30
Rh5 0.7500 0.1359 0.7785  2 B 2.25
Rh6 0.2500 0.3822 0.7152  2 B 2.13-2.30
Rh7 0.2500 0.3641 0.2785  2 B 2.25
Rh8 0.7500 0.9165 0.5685  1 B 2.18
Rh9 0.2500 0.8822 0.7848  2 B 2.13-2.30
Rh10 0.7500 0.6359 0.7215  2 B 2.25
Rh11 0.2500 0.5835 0.0685  1 B 2.18
Rh12 0.2500 0.0835 0.4315  1 B 2.18
Np1 0.7500 0.8170 0.9903  7 Rh 2.79-2.96, 2 B 2.95
Np2 0.7500 0.3170 0.5097  7 Rh 2.79-2.96, 2 B 2.95
Np3 0.2500 0.6830 0.4903  7 Rh 2.79-2.96, 2 B 2.95
Np4 0.2500 0.1830 0.0097  7 Rh 2.79-2.96, 2 B 2.95

Calculated values
Its formation energy is -0.341 eV/atom.


No. 6
A relaxed Fe2CoRu crystal, computed with GGA-PBE.

a b c (Å): 4.1392 4.1392 4.1392
angles (deg): 60.00 60.00 60.00
Closest atoms and distances in Å follow each position.
Atoms (fractional coordinates):
Fe1 0.0000 0.0000 0.0000  4 Fe 2.53, 4 Ru 2.53
Fe2 0.2500 0.2500 0.2500  4 Co 2.53, 4 Fe 2.53
Co1 0.5000 0.5000 0.5000  4 Fe 2.53, 4 Ru 2.53
Ru1 0.7500 0.7500 0.7500  4 Fe 2.53, 4 Co 2.53

Calculated values
Its formation energy is 0.145 eV/atom.


No. 7
A relaxed MgZr2Ta crystal, computed with GGA-PBE.

a b c (Å): 5.4122 5.4122 5.4170
angles (deg): 80.90 80.90 32.81
Closest atoms and distances in Å follow each position.
Atoms (fractional coordinates):
Ta1 0.2456 0.2456 0.2456  3 Mg 3.05-3.24, 2 Ta 3.06, 7 Zr 3.06-3.15
Mg1 0.5066 0.5066 0.5015  3 Ta 3.05-3.24, 2 Mg 3.06, 7 Zr 3.06-3.17
Zr1 0.7559 0.7559 0.7351  5 Zr 3.06-3.29, 3 Mg 3.06-3.10, 4 Ta 3.08-3.15
Zr2 0.9919 0.9919 0.0179  5 Zr 3.06-3.29, 4 Mg 3.06-3.17, 3 Ta 3.06-3.09

Calculated values
Its formation energy is 0.181 eV/atom.


No. 8
A relaxed La5Tb4Pm crystal, computed with GGA-PBE.

a b c (Å): 3.7059 3.7059 25.3382
angles (deg): 90.00 90.00 90.00
Closest atoms and distances in Å follow each position.
Atoms (fractional coordinates):
La1 0.5000 0.5000 0.3013  8 Tb 3.63-3.64, 4 La 3.71
La2 0.5000 0.5000 0.6987  8 Tb 3.63-3.64, 4 La 3.71
La3 0.5000 0.5000 0.5000  8 Tb 3.63, 4 La 3.71
La4 0.5000 0.5000 0.1020  4 Tb 3.64, 4 Pm 3.68, 4 La 3.71
La5 0.5000 0.5000 0.8980  4 Tb 3.64, 4 Pm 3.68, 4 La 3.71
Tb1 0.0000 0.0000 0.5993  8 La 3.63, 4 Tb 3.71
Tb2 0.0000 0.0000 0.7981  8 La 3.64, 4 Tb 3.71
Tb3 0.0000 0.0000 0.2019  8 La 3.64, 4 Tb 3.71
Tb4 0.0000 0.0000 0.4007  8 La 3.63, 4 Tb 3.71
Pm1 0.0000 0.0000 0.0000  8 La 3.68, 4 Pm 3.71

Calculated values
Its formation energy is 0.021 eV/atom.


No. 9
A relaxed InBiAs2Br crystal, computed with GGA-PBE.

a b c (Å): 5.5053 5.5053 5.9602
angles (deg): 90.00 90.00 90.00
Closest atoms and distances in Å follow each position.
Atoms (fractional coordinates):
Br1 0.0000 0.0000 0.5000  2 Bi 2.98
As1 0.5000 0.0000 0.0000  2 Bi 2.75
As2 0.0000 0.5000 0.0000  2 Bi 2.75
In1 0.5000 0.5000 0.5000  4 Br 3.89, 8 As 4.06
Bi1 0.0000 0.0000 0.0000  4 As 2.75, 2 Br 2.98

Calculated values
The raw formation energy comes out at 0.46 eV per atom. As for the polymorph energy (0 for the lowest one): 0.000 eV/atom.


No. 10
A relaxed LaTaS2N crystal, computed with GGA-PBE.

a b c (Å): 4.8896 4.8896 3.9912
angles (deg): 90.00 90.00 90.00
Closest atoms and distances in Å follow each position.
Atoms (fractional coordinates):
Ta1 0.0000 0.0000 0.0000  2 N 2.00
S1 0.0000 0.5000 0.0000  2 Ta 2.44
S2 0.5000 0.0000 0.0000  2 Ta 2.44
N1 0.0000 0.0000 0.5000  2 Ta 2.00
La1 0.5000 0.5000 0.5000  8 S 3.16, 4 N 3.46

Calculated values
The raw formation energy comes out at -1.26 eV per atom. As for the polymorph energy (0 for the lowest one): 0.000 eV/atom.


No. 11
A relaxed Tb3Bi3Te crystal, computed with GGA-PBE.

a b c (Å): 7.7204 7.7204 8.3624
angles (deg): 87.17 87.17 110.22
Closest atoms and distances in Å follow each position.
Atoms (fractional coordinates):
Tb1 0.9411 0.9411 0.2204  2 Te 3.06-3.14, 5 Bi 3.11-3.40
Tb2 0.0589 0.0589 0.7796  2 Te 3.06-3.14, 5 Bi 3.11-3.40
Tb3 0.5037 0.8373 0.6903  1 Te 3.02, 4 Bi 3.15-3.21
Tb4 0.1627 0.4963 0.3097  1 Te 3.02, 4 Bi 3.15-3.21
Tb5 0.8373 0.5037 0.6903  1 Te 3.02, 4 Bi 3.15-3.21
Tb6 0.4963 0.1627 0.3097  1 Te 3.02, 4 Bi 3.15-3.21
Bi1 0.1619 0.8381 0.5000  6 Tb 3.15-3.19
Bi2 0.8381 0.1619 0.5000  6 Tb 3.15-3.19
Bi3 0.7759 0.2241 0.0000  4 Tb 3.20-3.40
Bi4 0.5986 0.5986 0.3425  1 Bi 3.03, 3 Tb 3.11-3.21
Bi5 0.2241 0.7759 0.0000  4 Tb 3.20-3.40
Bi6 0.4014 0.4014 0.6575  1 Bi 3.03, 3 Tb 3.11-3.21
Te1 0.2672 0.2672 0.0653  4 Tb 3.02-3.14
Te2 0.7328 0.7328 0.9347  4 Tb 3.02-3.14

Calculated values
The raw formation energy comes out at -0.69 eV per atom.


No. 12
A relaxed TaNb3Tc crystal, computed with GGA-PBE.

a b c (Å): 4.8336 4.8336 4.8336
angles (deg): 90.00 90.00 90.00
Closest atoms and distances in Å follow each position.
Atoms (fractional coordinates):
Nb1 0.0000 0.0000 0.5000  2 Ta 2.42
Nb2 0.5000 0.0000 0.0000  2 Ta 2.42
Nb3 0.0000 0.5000 0.0000  2 Ta 2.42
Tc1 0.5000 0.5000 0.5000  12 Nb 3.42
Ta1 0.0000 0.0000 0.0000  6 Nb 2.42

Calculated values
Its formation energy is 1.814 eV/atom. As for the polymorph energy (0 for the lowest one): 1.804 eV/atom.


| no. | size of the total moment (μB per formula unit) | N(E_F) (states/eV/f.u.) | DFT total energy (eV/atom) |
| --- | --- | --- | --- |
| 1 | 0.0 | 9.30 | -4.728 |
| 2 | 0.0 | 1.08 | -3.635 |
| 3 | 1.2 | 11.92 | -6.143 |
| 4 | 0.0 | 4.27 | -5.907 |
| 5 | 2.8 | 8.83 | -8.676 |
| 6 | 8.6 | 3.50 | -8.182 |
| 7 | 0.0 | 5.56 | -7.455 |
| 8 | 0.0 | 17.10 | -4.770 |
| 9 | 1.1 | 3.76 | -3.059 |
| 10 | 0.0 | 0.97 | -7.932 |
| 11 | 0.0 | 2.57 | -4.783 |
| 12 | 1.8 | 6.16 | -8.672 |